KCuIrCl6 | PBE | optimized geometry

## Properties
E_form (uncorrected): -78.38 kJ per mole of atoms
N(E_F): 6.68 states/eV/cell

```
KCuIrCl6
1.0
-1.156 0.951 6.162
-5.968 0.012 2.142
0.396 -6.897 1.139
Cl Cu Ir K
6 1 1 1
direct
0.984 0.643 0.690
0.643 0.373 0.690
0.372 0.984 0.690
0.643 0.984 0.310
0.372 0.643 0.310
0.984 0.373 0.310
0.333 0.333 0.500
0.667 0.667 0.500
0.000 0.000 0.000
```

Nd6CuIr2Cl3 | PBE | optimized geometry

## Properties
E_form (uncorrected): -102.08 kJ per mole of atoms
N(E_F): 8.46 states/eV/cell

```
Nd6CuIr2Cl3
1.0
-3.646 4.496 -4.223
-2.394 -1.456 6.595
5.989 4.763 1.927
Cl Ir Nd Cu
3 2 6 1
direct
0.500 0.500 0.500
0.169 0.831 0.500
0.831 0.169 0.500
0.666 0.334 0.000
0.334 0.666 0.000
0.274 0.274 0.792
0.726 0.726 0.208
0.931 0.588 0.793
0.412 0.069 0.207
0.588 0.931 0.793
0.069 0.412 0.207
0.000 0.000 0.000
```

CuPIrCl2 | PBE | optimized geometry

## Properties
energy relative to the lowest polymorph listed for this composition: 0.536 eV/atom
E_form (uncorrected): 101.92 kJ per mole of atoms
N(E_F): 5.77 states/eV/cell

```
CuPIrCl2
1.0
4.249 0.000 0.000
0.000 4.249 0.000
0.000 0.000 5.726
Cl Ir P Cu
2 1 1 1
direct
0.500 0.000 0.000
0.000 0.500 0.000
0.500 0.500 0.500
0.000 0.000 0.500
0.000 0.000 0.000
```

CuPIrCl2 | PBE | optimized geometry

## Properties
energy relative to the lowest polymorph listed for this composition: 0.000 eV/atom
E_form (uncorrected): 50.23 kJ per mole of atoms
N(E_F): 1.90 states/eV/cell

```
CuPIrCl2
1.0
-1.389 -2.421 -4.223
4.716 0.418 -1.791
1.048 -3.847 1.861
Ir Cu Cl P
1 1 2 1
direct
0.000 0.000 0.000
0.500 0.500 0.500
0.500 0.000 0.000
0.000 0.500 0.000
0.000 0.000 0.500
```

Pr8CuIr3Cl4 | PBE | optimized geometry

## Properties
E_form (uncorrected): -104.43 kJ per mole of atoms
N(E_F): 9.12 states/eV/cell

```
Pr8CuIr3Cl4
1.0
8.345 0.000 0.000
0.000 8.958 0.424
-4.173 -4.171 5.900
Pr Ir Cl Cu
8 3 4 1
direct
0.729 0.705 0.967
0.762 0.295 0.523
0.761 0.295 0.033
0.238 0.705 0.477
0.264 0.294 0.529
0.239 0.705 0.967
0.736 0.706 0.471
0.271 0.295 0.033
0.000 0.500 0.500
0.500 0.500 0.000
0.500 0.500 0.500
0.500 0.000 0.500
0.500 0.000 0.000
0.000 0.000 0.500
0.000 0.000 0.000
0.000 0.500 0.000
```

Pr4CuIrCl2 | PBE | optimized geometry

## Properties
E_form (uncorrected): -93.47 kJ per mole of atoms
N(E_F): 7.22 states/eV/cell

```
Pr4CuIrCl2
1.0
4.189 0.000 0.000
0.000 7.182 0.096
0.000 -2.547 7.471
Cu Cl Ir Pr
1 2 1 4
direct
0.500 0.500 0.000
0.000 0.500 0.500
0.500 0.000 0.500
0.000 0.000 0.000
0.000 0.748 0.212
0.000 0.252 0.788
0.500 0.235 0.208
0.500 0.765 0.792
```

RbCuIrCl6 | PBE | optimized geometry

## Properties
E_form (uncorrected): -78.75 kJ per mole of atoms
N(E_F): 6.54 states/eV/cell

```
RbCuIrCl6
1.0
-5.089 -3.784 -0.218
-0.364 -4.579 -4.377
3.304 -4.712 4.654
Cl Rb Cu Ir
6 1 1 1
direct
0.628 0.016 0.321
0.356 0.016 0.679
0.016 0.628 0.679
0.016 0.356 0.321
0.628 0.356 0.679
0.356 0.628 0.321
0.000 0.000 0.000
0.667 0.667 0.500
0.333 0.333 0.500
```

Rb2CuIrCl6 | PBE | optimized geometry

## Properties
E_form (uncorrected): -97.82 kJ per mole of atoms
N(E_F): 0.00 states/eV/cell

```
Rb2CuIrCl6
1.0
-2.785 -5.089 -4.632
-1.199 -4.561 5.733
-6.142 -3.050 1.096
Cl Rb Cu Ir
6 2 1 1
direct
0.260 0.260 0.479
0.228 0.772 0.000
0.228 0.228 0.000
0.772 0.228 0.000
0.740 0.740 0.521
0.772 0.772 0.000
0.750 0.250 0.500
0.250 0.750 0.500
0.500 0.500 0.000
0.000 0.000 0.000
```